(1)
Below is As2RuRh after structural relaxation, with properties calculated at the PBE level.

Properties
The value obtained for the theoretical density is 8587 kg/m³. The value obtained for the formation enthalpy at 0 K is -0.1264 eV per atom. Its relative energy among the computed polymorphs is 142.4 meV per atom. Its crystal system is tetragonal. The magnetization is 0.0 Bohr magnetons per cell.

Unit cell a=2.956 b=2.956 c=7.831 alpha=90.00 beta=90.00 gamma=90.00
Positions (direct):
As 0.000 0.000 0.000
As 0.500 0.500 0.382
Ru 0.500 0.500 0.818
Rh 0.000 0.000 0.569

(2)
Below is AsRu2Rh after structural relaxation, with properties calculated at the PBE level.

Properties
The value obtained for the theoretical density is 10902 kg/m³. The value obtained for the formation enthalpy at 0 K is 0.0267 eV per atom. Its crystal system is monoclinic. The magnetization is 0.0 Bohr magnetons per cell.

Unit cell a=2.862 b=3.957 c=5.268 alpha=90.00 beta=104.07 gamma=90.00
Positions (direct):
As 0.000 0.000 0.000
Ru 0.373 0.500 0.243
Ru 0.627 0.500 0.757
Rh 0.000 0.000 0.500

(3)
Below is As2RuRh after structural relaxation, with properties calculated at the PBE level.

Properties
The value obtained for the theoretical density is 9371 kg/m³. The value obtained for the formation enthalpy at 0 K is -0.0406 eV per atom. Its relative energy among the computed polymorphs is 228.1 meV per atom. Its crystal system is orthorhombic. The magnetization is 0.0 Bohr magnetons per cell.

Unit cell a=5.438 b=5.438 c=5.438 alpha=146.82 beta=134.11 gamma=57.79
Positions (direct):
As 0.000 0.000 0.000
As 0.724 0.224 0.500
Ru 0.512 0.512 0.000
Rh 0.219 0.719 0.500

(4)
Below is AsRu2Rh after structural relaxation, with properties calculated at the PBE level.

Properties
The value obtained for the theoretical density is 11054 kg/m³. The value obtained for the formation enthalpy at 0 K is 0.1125 eV per atom. Its crystal system is orthorhombic. The magnetization is 0.0 Bohr magnetons per cell.

Unit cell a=4.536 b=4.536 c=2.837 alpha=90.00 beta=90.00 gamma=101.99
Positions (direct):
As 0.000 0.000 0.000
Ru 0.000 0.500 0.500
Ru 0.500 0.000 0.500
Rh 0.500 0.500 0.000

(5)
Below is As2RuRh after structural relaxation, with properties calculated at the PBE level.

Properties
The value obtained for the theoretical density is 9413 kg/m³. The value obtained for the formation enthalpy at 0 K is 0.3525 eV per atom. Its relative energy among the computed polymorphs is 621.2 meV per atom. Its crystal system is cubic. The magnetization is 0.0 Bohr magnetons per cell.

Unit cell a=4.453 b=4.453 c=4.453 alpha=60.00 beta=60.00 gamma=60.00
Positions (direct):
As 0.000 0.000 0.000
As 0.250 0.250 0.250
Ru 0.750 0.750 0.750
Rh 0.500 0.500 0.500

(6)
Below is As2RuRh after structural relaxation, with properties calculated at the PBE level.

Properties
The value obtained for the theoretical density is 9551 kg/m³. The value obtained for the formation enthalpy at 0 K is -0.2233 eV per atom. Its relative energy among the computed polymorphs is 45.5 meV per atom. Its crystal system is orthorhombic. The magnetization is 0.0 Bohr magnetons per cell.

Unit cell a=3.108 b=3.788 c=5.225 alpha=90.00 beta=90.00 gamma=90.00
Positions (direct):
As 0.000 0.000 0.000
As 0.500 0.500 0.371
Ru 0.500 0.500 0.854
Rh 0.000 0.000 0.510

(7)
Below is AsRuRh after structural relaxation, with properties calculated at the PBE level.

Properties
The value obtained for the theoretical density is 10063 kg/m³. The value obtained for the formation enthalpy at 0 K is -0.1203 eV per atom. Its relative energy among the computed polymorphs is 69.9 meV per atom. Its crystal system is tetragonal. The magnetization is 0.0 Bohr magnetons per cell.

Unit cell a=3.898 b=3.898 c=6.060 alpha=90.00 beta=90.00 gamma=90.00
Positions (direct):
As 0.250 0.250 0.249
As 0.750 0.750 0.751
Ru 0.250 0.750 0.000
Ru 0.750 0.250 0.000
Rh 0.250 0.250 0.640
Rh 0.750 0.750 0.360

(8)
Below is As2RuRh after structural relaxation, with properties calculated at the PBE level.

Properties
The value obtained for the theoretical density is 9786 kg/m³. The value obtained for the formation enthalpy at 0 K is -0.0350 eV per atom. Its relative energy among the computed polymorphs is 233.7 meV per atom. Its crystal system is cubic. The magnetization is 1.1 Bohr magnetons per cell.

Unit cell a=4.395 b=4.395 c=4.395 alpha=60.00 beta=60.00 gamma=60.00
Positions (direct):
As 0.250 0.250 0.250
As 0.750 0.750 0.750
Ru 0.000 0.000 0.000
Rh 0.500 0.500 0.500

(9)
Below is As2RuRh after structural relaxation, with properties calculated at the PBE level.

Properties
The value obtained for the theoretical density is 9176 kg/m³. The value obtained for the formation enthalpy at 0 K is -0.0336 eV per atom. Its relative energy among the computed polymorphs is 235.1 meV per atom. Its crystal system is orthorhombic. The magnetization is 0.0 Bohr magnetons per cell.

Unit cell a=2.920 b=3.015 c=7.273 alpha=90.00 beta=90.00 gamma=90.00
Positions (direct):
As 0.000 0.000 0.222
As 0.000 0.000 0.778
Ru 0.500 0.500 0.000
Rh 0.500 0.000 0.500

(10)
Below is AsRu2Rh after structural relaxation, with properties calculated at the PBE level.

Properties
The value obtained for the theoretical density is 11013 kg/m³. The value obtained for the formation enthalpy at 0 K is 0.0560 eV per atom. Its crystal system is orthorhombic. The magnetization is 0.0 Bohr magnetons per cell.

Unit cell a=5.120 b=5.120 c=5.120 alpha=145.95 beta=129.63 gamma=62.20
Positions (direct):
As 0.000 0.000 0.000
Ru 0.501 0.501 0.000
Ru 0.778 0.278 0.500
Rh 0.220 0.720 0.500

(11)
Below is AsRu2Rh after structural relaxation, with properties calculated at the PBE level.

Properties
The value obtained for the theoretical density is 10936 kg/m³. The value obtained for the formation enthalpy at 0 K is 0.0298 eV per atom. Its crystal system is monoclinic. The magnetization is 0.0 Bohr magnetons per cell.

Unit cell a=5.215 b=5.215 c=4.381 alpha=114.76 beta=114.76 gamma=32.55
Positions (direct):
As 0.000 0.000 0.000
Ru 0.284 0.284 0.784
Ru 0.716 0.716 0.216
Rh 0.500 0.500 0.500

(12)
Below is AsRu2Rh after structural relaxation, with properties calculated at the PBE level.

Properties
The value obtained for the theoretical density is 10859 kg/m³. The value obtained for the formation enthalpy at 0 K is 0.0987 eV per atom. Its crystal system is orthorhombic. The magnetization is 0.0 Bohr magnetons per cell.

Unit cell a=2.822 b=3.740 c=5.505 alpha=90.00 beta=90.00 gamma=90.00
Positions (direct):
As 0.000 0.000 0.000
Ru 0.000 0.000 0.508
Ru 0.500 0.500 0.720
Rh 0.500 0.500 0.232

(13)
Below is AsRu2Rh after structural relaxation, with properties calculated at the PBE level.

Properties
The value obtained for the theoretical density is 11129 kg/m³. The value obtained for the formation enthalpy at 0 K is 0.0472 eV per atom. Its crystal system is tetragonal. The magnetization is 0.0 Bohr magnetons per cell.

Unit cell a=4.654 b=4.654 c=4.654 alpha=130.66 beta=130.66 gamma=72.35
Positions (direct):
As 0.000 0.000 0.000
Ru 0.500 0.500 0.000
Ru 0.750 0.250 0.500
Rh 0.250 0.750 0.500

(14)
Below is AsRu2Rh after structural relaxation, with properties calculated at the PBE level.

Properties
The value obtained for the theoretical density is 10592 kg/m³. The value obtained for the formation enthalpy at 0 K is 0.4183 eV per atom. Its crystal system is orthorhombic. The magnetization is 0.0 Bohr magnetons per cell.

Unit cell a=2.822 b=2.822 c=8.563 alpha=90.00 beta=90.00 gamma=119.09
Positions (direct):
As 0.000 0.000 0.000
Ru 0.500 0.500 0.233
Ru 0.500 0.500 0.767
Rh 0.000 0.000 0.500